This record from the Alexandria database describes a crystal of AlH2PbO2F3 relaxed with PBEsol. The functional is SCAN.

Results
As for the uncorrected energy: -15.012 eV per atom.

abc: 4.9680 6.2891 6.8235
angles: 104.78 90.39 107.80
Element x y z (fractional)
Al 0.1607 0.1883 0.1724
Al 0.8393 0.8117 0.8276
H 0.2769 0.8156 0.0292
H 0.2795 0.8541 0.6411
H 0.7205 0.1459 0.3589
H 0.7231 0.1844 0.9708
Pb 0.2004 0.3093 0.6920
Pb 0.7996 0.6907 0.3080
O 0.1013 0.8961 0.6405
O 0.1035 0.8647 0.0525
O 0.8965 0.1353 0.9475
O 0.8987 0.1039 0.3595
F 0.1904 0.4910 0.2678
F 0.4348 0.2128 0.3645
F 0.4479 0.2628 0.0091
F 0.5521 0.7372 0.9909
F 0.5652 0.7872 0.6355
F 0.8096 0.5090 0.7322